No. 1
Computed, not measured: NaCd5Ag2 after structural relaxation at the PBE-GGA level of DFT.

It has space group I4/mmm (No. 139), with a = 7.177 Å, b = 7.177 Å, c = 6.550 Å, α = 90.00°, β = 90.00° and γ = 90.00°. The inequivalent atoms are Na at (0.000, 0.000, 0.000), Cd at (0.000, 0.000, 0.500), Cd at (0.250, 0.250, 0.250) and Ag at (0.000, 0.500, 0.000).

For the density of states at the Fermi level, the calculation gives 6.43 states/eV per cell. For the calculated formation energy, the calculation gives 0.0063 eV/atom.

=====

No. 2
Computed, not measured: YAgIr2 after structural relaxation at the PBE-GGA level of DFT.

It has space group P4/mmm (No. 123), with a = 3.040 Å, b = 3.040 Å, c = 7.845 Å, α = 90.00°, β = 90.00° and γ = 90.00°. The inequivalent atoms are Y at (0.000, 0.000, 0.000), Ag at (0.000, 0.000, 0.500) and Ir at (0.500, 0.500, 0.257).

For the density of states at the Fermi level, the calculation gives 3.87 states/eV per cell. For the calculated formation energy, the calculation gives 0.0806 eV/atom.

=====

No. 3
Computed, not measured: Ti7CdIn4 after structural relaxation at the PBE-GGA level of DFT.

It has space group C2/m (No. 12), with a = 10.338 Å, b = 5.131 Å, c = 10.726 Å, α = 90.00°, β = 118.58° and γ = 90.00°. The inequivalent atoms are Ti at (0.000, 0.000, 0.000), Ti at (0.107, 0.500, 0.465), Ti at (0.147, 0.000, 0.616), Ti at (0.194, 0.000, 0.920), Cd at (0.000, 0.500, 0.000), In at (0.095, 0.000, 0.318) and In at (0.182, 0.500, 0.777).

For the density of states at the Fermi level, the calculation gives 23.63 states/eV per cell. For the calculated formation energy, the calculation gives 0.1987 eV/atom.

=====

No. 4
Computed, not measured: FeW3 after structural relaxation at the PBE-GGA level of DFT.

It has space group P4/mmm (No. 123), with a = 2.713 Å, b = 2.713 Å, c = 8.084 Å, α = 90.00°, β = 90.00° and γ = 90.00°. The inequivalent atoms are Fe at (0.000, 0.000, 0.000), W at (0.000, 0.000, 0.500) and W at (0.500, 0.500, 0.218).

For the density of states at the Fermi level, the calculation gives 2.40 states/eV per cell. For the calculated formation energy, the calculation gives 0.2076 eV/atom.

=====

No. 5
Computed, not measured: Dy3Y12Th after structural relaxation at the PBE-GGA level of DFT.

It has space group P4/mmm (No. 123), with a = 5.052 Å, b = 5.052 Å, c = 20.172 Å, α = 90.00°, β = 90.00° and γ = 90.00°. The inequivalent atoms are Dy at (0.000, 0.000, 0.000), Dy at (0.000, 0.000, 0.250), Y at (0.000, 0.500, 0.125), Y at (0.000, 0.500, 0.376), Y at (0.500, 0.500, 0.000), Y at (0.500, 0.500, 0.249), Y at (0.500, 0.500, 0.500) and Th at (0.000, 0.000, 0.500).

For the density of states at the Fermi level, the calculation gives 24.02 states/eV per cell. For the calculated formation energy, the calculation gives 0.0293 eV/atom.

=====

No. 6
Computed, not measured: AlAgMo2 after structural relaxation at the PBE-GGA level of DFT.

It has space group P2/m (No. 10), with a = 2.731 Å, b = 4.417 Å, c = 5.341 Å, α = 90.00°, β = 96.66° and γ = 90.00°. The inequivalent atoms are Al at (0.000, 0.000, 0.000), Ag at (0.000, 0.000, 0.500) and Mo at (0.475, 0.500, 0.233).

For the density of states at the Fermi level, the calculation gives 1.82 states/eV per cell. For the calculated formation energy, the calculation gives 0.1447 eV/atom.

=====

No. 7
Computed, not measured: Zr2AlSi after structural relaxation at the PBE-GGA level of DFT.

It has space group P-1 (No. 2), with a = 5.480 Å, b = 5.509 Å, c = 5.530 Å, α = 102.99°, β = 103.49° and γ = 101.15°. The inequivalent atoms are Zr at (0.049, 0.251, 0.454), Zr at (0.366, 0.763, 0.166), Al at (0.154, 0.197, 0.963) and Si at (0.458, 0.685, 0.660).

The formation energy from raw total energies comes out at -13.1 kcal/mol of atoms. For the density of states at the Fermi level, the calculation gives 5.71 states/eV per cell.

=====

No. 8
Computed, not measured: CsSrHgF6 after structural relaxation at the PBE-GGA level of DFT.

It has space group Imma (No. 74), with a = 7.934 Å, b = 8.458 Å, c = 10.997 Å, α = 90.00°, β = 90.00° and γ = 90.00°. The inequivalent atoms are Cs at (0.000, 0.250, 0.139), Sr at (0.250, 0.250, 0.750), Hg at (0.000, 0.000, 0.500), F at (0.000, 0.250, 0.605), F at (0.000, 0.250, 0.872) and F at (0.188, 0.029, 0.364).

The formation energy from raw total energies comes out at -56.7 kcal/mol of atoms. For the density of states at the Fermi level, the calculation gives 15.93 states/eV per cell.

=====

No. 9
Computed, not measured: Tb6Pm2In after structural relaxation at the PBE-GGA level of DFT.

It has space group Immm (No. 71), with a = 3.512 Å, b = 10.225 Å, c = 16.010 Å, α = 90.00°, β = 90.00° and γ = 90.00°. The inequivalent atoms are Tb at (0.000, 0.162, 0.177), Tb at (0.000, 0.202, 0.500), Pm at (0.000, 0.500, 0.152) and In at (0.000, 0.000, 0.000).

For the density of states at the Fermi level, the calculation gives 20.91 states/eV per cell. For the calculated formation energy, the calculation gives -0.0190 eV/atom.

=====

No. 10
Computed, not measured: Ba8Se after structural relaxation at the PBE-GGA level of DFT.

It has space group I4/mmm (No. 139), with a = 14.795 Å, b = 14.795 Å, c = 4.513 Å, α = 90.00°, β = 90.00° and γ = 90.00°. The inequivalent atoms are Ba at (0.000, 0.339, 0.000), Ba at (0.137, 0.137, 0.500) and Se at (0.000, 0.000, 0.000).

The formation energy from raw total energies comes out at -5.9 kcal/mol of atoms. For the density of states at the Fermi level, the calculation gives 23.74 states/eV per cell.

=====

No. 11
Computed, not measured: TiSiHgPb2 after structural relaxation at the PBE-GGA level of DFT.

It has space group P4/mmm (No. 123), with a = 5.556 Å, b = 5.556 Å, c = 5.226 Å, α = 90.00°, β = 90.00° and γ = 90.00°. The inequivalent atoms are Ti at (0.000, 0.000, 0.000), Si at (0.500, 0.500, 0.000), Hg at (0.000, 0.000, 0.500) and Pb at (0.000, 0.500, 0.500).

The formation energy from raw total energies comes out at 27.3 kcal/mol of atoms. For the density of states at the Fermi level, the calculation gives 6.99 states/eV per cell.

=====

No. 12
Computed, not measured: CsK4I5 after structural relaxation at the PBE-GGA level of DFT.

It has space group Immm (No. 71), with a = 5.121 Å, b = 7.358 Å, c = 25.958 Å, α = 90.00°, β = 90.00° and γ = 90.00°. The inequivalent atoms are Cs at (0.000, 0.000, 0.000), K at (0.000, 0.000, 0.205), K at (0.000, 0.000, 0.398), I at (0.000, 0.500, 0.000), I at (0.000, 0.500, 0.199) and I at (0.000, 0.500, 0.390).

The formation energy from raw total energies comes out at -34.3 kcal/mol of atoms. For the density of states at the Fermi level, the calculation gives 0.00 states/eV per cell.

=====

No. 13
Computed, not measured: KCoPt2 after structural relaxation at the PBE-GGA level of DFT.

It has space group I-42d (No. 122), with a = 5.129 Å, b = 5.129 Å, c = 16.092 Å, α = 90.00°, β = 90.00° and γ = 90.00°. The inequivalent atoms are K at (0.000, 0.000, 0.000), Co at (0.000, 0.000, 0.500) and Pt at (0.043, 0.750, 0.625).

For the density of states at the Fermi level, the calculation gives 16.18 states/eV per cell. For the calculated formation energy, the calculation gives 0.3846 eV/atom.

=====

No. 14
Computed, not measured: Tl3HgTeI after structural relaxation at the PBE-GGA level of DFT.

It has space group P2_1/m (No. 11), with a = 9.266 Å, b = 4.701 Å, c = 10.912 Å, α = 90.00°, β = 108.22° and γ = 90.00°. The inequivalent atoms are Tl at (0.014, 0.250, 0.200), Tl at (0.185, 0.750, 0.478), Tl at (0.433, 0.750, 0.856), Hg at (0.419, 0.250, 0.389), Te at (0.192, 0.250, 0.687) and I at (0.240, 0.750, 0.091).

The formation energy from raw total energies comes out at -7.9 kcal/mol of atoms.

=====

No. 15
Computed, not measured: Ce2Ge3Au9 after structural relaxation at the PBE-GGA level of DFT.

It has space group C2/c (No. 15), with a = 14.216 Å, b = 8.262 Å, c = 10.810 Å, α = 90.00°, β = 117.10° and γ = 90.00°. The inequivalent atoms are Ce at (0.163, 0.084, 0.244), Ge at (0.082, 0.210, 0.487), Ge at (0.250, 0.250, 0.000), Au at (0.000, 0.372, 0.250), Au at (0.058, 0.098, 0.905), Au at (0.115, 0.321, 0.729), Au at (0.115, 0.405, 0.072) and Au at (0.223, 0.412, 0.419).

For the density of states at the Fermi level, the calculation gives 59.51 states/eV per cell. For the calculated formation energy, the calculation gives -0.3504 eV/atom.

=====

No. 16
Computed, not measured: ZrAs after structural relaxation at the PBE-GGA level of DFT.

It has space group Amm2 (No. 38), with a = 3.815 Å, b = 12.424 Å, c = 7.064 Å, α = 90.00°, β = 90.00° and γ = 90.00°. The inequivalent atoms are Zr at (0.000, 0.000, 0.000), Zr at (0.500, 0.204, 0.836), As at (0.000, 0.205, 0.113) and As at (0.500, 0.000, 0.732).

For the density of states at the Fermi level, the calculation gives 6.59 states/eV per cell. For the calculated formation energy, the calculation gives -0.6640 eV/atom.

=====

No. 17
Computed, not measured: PrEr2Cd6 after structural relaxation at the PBE-GGA level of DFT.

It has space group P6/mmm (No. 191), with a = 8.6802 Å, b = 8.6802 Å, c = 3.4277 Å, α = 90.00°, β = 90.00° and γ = 120.00°. The inequivalent atoms are Pr at (0.0000, 0.0000, 0.0000), Er at (0.3333, 0.6667, 0.0000) and Cd at (0.0000, 0.3371, 0.5000).

For the density of states at the Fermi level, the calculation gives 7.35 states/eV per cell. For the calculated formation energy, the calculation gives -0.3105 eV/atom.

=====

No. 18
Computed, not measured: AcTb2Hg4 after structural relaxation at the PBE-GGA level of DFT.

It has space group Cmmm (No. 65), with a = 7.327 Å, b = 11.135 Å, c = 5.216 Å, α = 90.00°, β = 90.00° and γ = 90.00°. The inequivalent atoms are Ac at (0.000, 0.000, 0.000), Tb at (0.000, 0.261, 0.500), Hg at (0.216, 0.500, 0.500) and Hg at (0.250, 0.250, 0.000).

For the density of states at the Fermi level, the calculation gives 8.05 states/eV per cell. For the calculated formation energy, the calculation gives -0.3711 eV/atom.

=====

No. 19
Computed, not measured: HfScPO2 after structural relaxation at the PBE-GGA level of DFT.

It has space group P4/mmm (No. 123), with a = 3.986 Å, b = 3.986 Å, c = 5.349 Å, α = 90.00°, β = 90.00° and γ = 90.00°. The inequivalent atoms are Hf at (0.000, 0.000, 0.000), Sc at (0.500, 0.500, 0.500), P at (0.000, 0.000, 0.500) and O at (0.000, 0.500, 0.000).

The formation energy from raw total energies comes out at -48.3 kcal/mol of atoms. For the density of states at the Fermi level, the calculation gives 0.28 states/eV per cell.

=====

No. 20
Computed, not measured: KSbTe2Ir after structural relaxation at the PBE-GGA level of DFT.

It has space group P4/mmm (No. 123), with a = 5.653 Å, b = 5.653 Å, c = 4.984 Å, α = 90.00°, β = 90.00° and γ = 90.00°. The inequivalent atoms are K at (0.000, 0.000, 0.000), Sb at (0.500, 0.500, 0.000), Te at (0.000, 0.500, 0.500) and Ir at (0.500, 0.500, 0.500).

The formation energy from raw total energies comes out at 0.4 kcal/mol of atoms. For the density of states at the Fermi level, the calculation gives 5.73 states/eV per cell.